Entry from Alexandria via LeMat-Bulk: crystalline Sr3AlFe2O8 at its relaxed geometry (PBE with a Hubbard U).

Lattice parameters (Å, degrees): 5.5517 5.5517 7.1747 90.00 90.00 120.00
Element x y z (fractional)
1 Sr 0.0000 0.0000 0.0000
2 Sr 0.3333 0.6667 0.6420
3 Sr 0.6667 0.3333 0.3580
4 Al 0.0000 0.0000 0.5000
5 Fe 0.3333 0.6667 0.2163
6 Fe 0.6667 0.3333 0.7837
7 O 0.1586 0.3173 0.3354
8 O 0.1586 0.8414 0.3354
9 O 0.3173 0.1586 0.6646
10 O 0.3333 0.6667 0.9660
11 O 0.6667 0.3333 0.0340
12 O 0.6827 0.8414 0.3354
13 O 0.8414 0.1586 0.6646
14 O 0.8414 0.6827 0.6646

Summary:
Mass density in Mg/m³: 4.59
Total DFT energy (no corrections) in eV per atom: -6.4897
Total magnetic moment in μB/f.u.: 8.98
Space-group type: P-3m1 (164)